This record from Alexandria via LeMat-Bulk describes a geometry-optimized Li6DyIn6 structure. The functional is PBE-GGA.

POSCAR file:
```
Li6DyIn6
1.0
-2.8676 4.7611 4.8222
2.8676 -4.7611 4.8222
2.8676 4.7611 -4.8222
Li Dy In
6 1 6
direct
0.0000 0.0000 0.5000
0.0000 0.5000 0.0000
0.2311 0.2311 0.0000
0.5000 0.0000 0.0000
0.5000 0.5000 0.5000
0.7689 0.7689 0.0000
0.0000 0.5000 0.5000
0.1933 0.0000 0.1933
0.3403 0.8403 0.5000
0.3430 0.5000 0.8430
0.6570 0.5000 0.1570
0.6597 0.1597 0.5000
0.8067 0.0000 0.8067
```

Properties
**ΔE_f**: -3.8 eV per formula unit
**E_tot**: -2.795 eV/atom
**Density of states at the Fermi level**: 4.6 states/eV/cell

---

This record from Alexandria via LeMat-Bulk describes a geometry-optimized GdAlSb2 structure. The functional is PBE-GGA.

POSCAR file:
```
GdAlSb2
1.0
1.8451 1.0652 9.9109
-1.8451 1.0652 9.9109
0.0000 -2.1305 9.9109
Gd Al Sb
1 1 2
direct
0.0000 0.0000 0.0000
0.5000 0.5000 0.5000
0.1049 0.1049 0.1049
0.8951 0.8951 0.8951
```

Properties
**E_tot**: -6.441 eV/atom
**Density of states at the Fermi level**: 4.1 states/eV/cell
**ΔE_f (raw)**: 0.076 eV/atom

---

This record from Alexandria via LeMat-Bulk describes a geometry-optimized Sr2MgSnAu structure. The functional is PBE-GGA.

POSCAR file:
```
Sr2MgSnAu
1.0
6.3537 0.0000 0.0000
0.0000 6.3537 0.0000
0.0000 0.0000 5.1812
Sr Mg Sn Au
2 1 1 1
direct
0.0000 0.5000 0.0000
0.5000 0.0000 0.0000
0.0000 0.0000 0.5000
0.5000 0.5000 0.0000
0.5000 0.5000 0.5000
```

Properties
**ΔE_f**: -0.1 eV per formula unit
**E_tot**: -2.467 eV/atom
**Density of states at the Fermi level**: 5.1 states/eV/cell

---

This record from Alexandria via LeMat-Bulk describes a geometry-optimized Sc3TlTe4O12 structure. The functional is PBE-GGA.

POSCAR file:
```
Sc3TlTe4O12
1.0
5.5830 3.2233 2.9255
-5.5830 3.2233 2.9255
0.0000 -6.4467 2.9255
Sc Tl Te O
3 1 4 12
direct
0.0000 0.5765 0.4235
0.4235 0.0000 0.5765
0.5765 0.4235 0.0000
0.0000 0.0000 0.0000
0.0956 0.5000 0.9044
0.5000 0.5000 0.5000
0.5000 0.9044 0.0956
0.9044 0.0956 0.5000
0.0719 0.3035 0.4024
0.0762 0.9238 0.5000
0.3035 0.4024 0.0719
0.3133 0.6867 0.5000
0.4024 0.0719 0.3035
0.5000 0.0762 0.9238
0.5000 0.3133 0.6867
0.5976 0.6965 0.9281
0.6867 0.5000 0.3133
0.6965 0.9281 0.5976
0.9238 0.5000 0.0762
0.9281 0.5976 0.6965
```

Properties
**E_tot**: -6.351 eV/atom
**Density of states at the Fermi level**: 3.3 states/eV/cell
**ΔE_f (raw)**: -1.680 eV/atom

---

This record from Alexandria via LeMat-Bulk describes a geometry-optimized KSi3H12 structure. The functional is PBE-GGA.

POSCAR file:
```
KSi3H12
1.0
4.1789 2.4127 6.9267
-4.1789 2.4127 6.9267
0.0000 -4.8254 6.9267
K Si H
2 6 24
direct
0.0000 0.0000 0.0000
0.5000 0.5000 0.5000
0.0028 0.5403 0.4450
0.0403 0.5028 0.9450
0.4450 0.0028 0.5403
0.5028 0.9450 0.0403
0.5403 0.4450 0.0028
0.9450 0.0403 0.5028
0.0243 0.2018 0.3516
0.0472 0.7004 0.8884
0.0696 0.4768 0.7682
0.1010 0.8472 0.4876
0.2004 0.5472 0.3884
0.2018 0.3516 0.0243
0.2682 0.9768 0.5696
0.3472 0.6010 0.9876
0.3516 0.0243 0.2018
0.3884 0.2004 0.5472
0.4768 0.7682 0.0696
0.4876 0.1010 0.8472
0.5243 0.8516 0.7018
0.5472 0.3884 0.2004
0.5696 0.2682 0.9768
0.6010 0.9876 0.3472
0.7004 0.8884 0.0472
0.7018 0.5243 0.8516
0.7682 0.0696 0.4768
0.8472 0.4876 0.1010
0.8516 0.7018 0.5243
0.8884 0.0472 0.7004
0.9768 0.5696 0.2682
0.9876 0.3472 0.6010
```

Properties
**E_tot**: -3.569 eV/atom
**Density of states at the Fermi level**: 3.9 states/eV/cell

---

This record from Alexandria via LeMat-Bulk describes a geometry-optimized Hf3PaCo8 structure. The functional is PBE-GGA.

POSCAR file:
```
Hf3PaCo8
1.0
2.4413 1.4095 7.9947
-2.4413 1.4095 7.9947
0.0000 -2.8190 7.9947
Hf Pa Co
3 1 8
direct
0.0000 0.0000 0.0000
0.1236 0.1236 0.1236
0.4940 0.4940 0.4940
0.6208 0.6208 0.6208
0.0583 0.0583 0.5595
0.0583 0.5595 0.0583
0.0627 0.5601 0.5601
0.3103 0.3103 0.3103
0.5595 0.0583 0.0583
0.5601 0.0627 0.5601
0.5601 0.5601 0.0627
0.8097 0.8097 0.8097
```

Properties
**ΔE_f**: -4.1 eV per formula unit
**E_tot**: -8.355 eV/atom
**Density of states at the Fermi level**: 17.4 states/eV/cell